i:
First-principles (PBE with a Hubbard U) data for a geometry-optimized VAuF2 structure, as listed in Alexandria via LeMat-Bulk.

abc: 6.095 6.095 6.095
angles: 90.00 90.00 90.00
Space group Fm-3m (No. 225)
Unique sites:
V1 0.000 0.000 0.000 x4
Au1 0.000 0.000 0.500 x4
F1 0.250 0.250 0.250 x8

- total magnetic moment (μB per atom) = 0.7743

***

ii:
First-principles (PBE with a Hubbard U) data for a geometry-optimized VAuF2 structure, as listed in Alexandria via LeMat-Bulk.

abc: 5.965 5.965 9.835
angles: 90.00 90.00 90.00
Space group I4_1/amd (No. 141, origin choice 2)
Unique sites:
V1 0.000 0.250 0.375 x4
Au1 0.000 0.250 0.875 x4
F1 0.000 0.000 0.500 x8

- total magnetic moment (μB per atom) = 0.6160

***

Least stable: i

***

i:
First-principles (PBE with a Hubbard U) data for a geometry-optimized VAuF3 structure, as listed in Alexandria via LeMat-Bulk.

abc: 4.134 4.134 4.134
angles: 90.00 90.00 90.00
Space group Pm-3m (No. 221)
Unique sites:
V1 0.000 0.000 0.000 x1
Au1 0.500 0.500 0.500 x1
F1 0.000 0.000 0.500 x3

- total magnetic moment (μB per atom) = 0.5375

***

ii:
First-principles (PBE with a Hubbard U) data for a geometry-optimized VAuF3 structure, as listed in Alexandria via LeMat-Bulk.

abc: 4.473 4.473 4.473
angles: 90.00 90.00 90.00
Space group Pm-3m (No. 221)
Unique sites:
V1 0.000 0.000 0.000 x1
Au1 0.500 0.500 0.500 x1
F1 0.000 0.500 0.500 x3

- total magnetic moment (μB per atom) = 0.7182

***

Least stable: ii